{"formula": "AcPuPH", "functional": "GGA-PBE", "state": "optimized geometry", "lattice_angstrom": [[0.0000, 3.5103, 3.5103], [3.5103, 0.0000, 3.5103], [3.5103, 3.5103, 0.0000]], "species": ["Ac", "Pu", "P", "H"], "fractional_positions": [[0.0000, 0.0000, 0.0000], [0.5000, 0.5000, 0.5000], [0.7500, 0.7500, 0.7500], [0.2500, 0.2500, 0.2500]], "spacegroup": "No. 216", "final_energy_ev_per_atom": -7.299}